A plane-wave DFT calculation with PBE was carried out for a geometry-optimized YCoSCl2 structure.

Cell: 5.204 5.204 5.335 Å, 90.00 90.00 90.00°
Atoms (fractional coordinates):
Y  0.000  0.000  0.000
Co  0.500  0.500  0.500
S  0.000  0.000  0.500
Cl  0.000  0.500  0.000
Cl  0.500  0.000  0.000

Properties
volume: 144.48 Å³/cell
spin magnetization: 0.466 μB per atom
raw formation energy: -0.595 eV per atom
ΔE to the lowest computed polymorph: 0.943 eV/f.u.

A plane-wave DFT calculation with PBE was carried out for a geometry-optimized LaCr2Mo structure.

Cell: 5.183 5.183 5.183 Å, 144.40 121.06 70.78°
Atoms (fractional coordinates):
La  0.000  0.000  0.000
Cr  0.263  0.763  0.500
Cr  0.737  0.237  0.500
Mo  0.500  0.500  0.000

Properties
volume: 68.26 Å³/cell
spin magnetization: 0.049 μB per atom
ΔE to the lowest computed polymorph: 1.651 eV/f.u.

A plane-wave DFT calculation with PBE was carried out for a geometry-optimized Y3CoHg structure.

Cell: 5.167 5.167 5.167 Å, 90.00 90.00 90.00°
Atoms (fractional coordinates):
Y  0.000  0.000  0.500
Y  0.000  0.500  0.000
Y  0.500  0.000  0.000
Co  0.000  0.000  0.000
Hg  0.500  0.500  0.500

Properties
volume: 137.98 Å³/cell
spin magnetization: 0.000 μB per atom
ΔE to the lowest computed polymorph: 0.645 eV/f.u.

A plane-wave DFT calculation with PBE was carried out for a geometry-optimized AlNi2Rh structure.

Cell: 4.385 4.385 2.714 Å, 90.00 90.00 107.98°
Atoms (fractional coordinates):
Al  0.000  0.000  0.000
Ni  0.000  0.500  0.500
Ni  0.500  0.000  0.500
Rh  0.500  0.500  0.000

Properties
VASP energy: -24.12 eV/cell
volume: 49.64 Å³/cell
spin magnetization: 0.001 μB per atom

A plane-wave DFT calculation with PBE was carried out for a geometry-optimized Zn2InAu structure.

Cell: 5.084 5.084 5.084 Å, 131.01 131.01 71.79°
Atoms (fractional coordinates):
Zn  0.250  0.750  0.500
Zn  0.750  0.250  0.500
In  0.000  0.000  0.000
Au  0.500  0.500  0.000

Properties
VASP energy: -8.61 eV/cell
volume: 73.18 Å³/cell
spin magnetization: 0.000 μB per atom

A plane-wave DFT calculation with PBE was carried out for a geometry-optimized Tb6CeNd2Ho3 structure.

Cell: 6.188 6.188 11.829 Å, 95.01 95.01 120.00°
Atoms (fractional coordinates):
Tb  0.084  0.415  0.753
Tb  0.247  0.247  0.247
Tb  0.415  0.084  0.753
Tb  0.585  0.916  0.247
Tb  0.753  0.753  0.753
Tb  0.916  0.585  0.247
Ce  0.000  0.000  0.500
Nd  0.334  0.666  0.500
Nd  0.666  0.334  0.500
Ho  0.167  0.833  0.000
Ho  0.500  0.500  0.000
Ho  0.833  0.167  0.000

Properties
VASP energy: -56.52 eV/cell
volume: 386.20 Å³/cell
spin magnetization: 0.084 μB per atom

A plane-wave DFT calculation with PBE was carried out for a geometry-optimized LaPrTe2Se structure.

Cell: 4.505 4.505 16.000 Å, 90.00 90.00 90.00°
Atoms (fractional coordinates):
La  0.250  0.250  0.128
La  0.750  0.750  0.872
Pr  0.250  0.250  0.597
Pr  0.750  0.750  0.403
Te  0.250  0.250  0.392
Te  0.250  0.250  0.795
Te  0.750  0.750  0.205
Te  0.750  0.750  0.608
Se  0.250  0.750  0.000
Se  0.750  0.250  0.000

Properties
volume: 324.71 Å³/cell
spin magnetization: 0.000 μB per atom
raw formation energy: -1.533 eV per atom

A plane-wave DFT calculation with PBE was carried out for a geometry-optimized SmGaBi structure.

Cell: 8.572 8.572 4.364 Å, 90.00 90.00 148.97°
Atoms (fractional coordinates):
Sm  0.095  0.905  0.750
Sm  0.905  0.095  0.250
Ga  0.457  0.543  0.750
Ga  0.543  0.457  0.250
Bi  0.251  0.749  0.250
Bi  0.749  0.251  0.750

Properties
volume: 165.29 Å³/cell
spin magnetization: 0.000 μB per atom
ΔE to the lowest computed polymorph: 0.000 eV/f.u.